[1]
VASP calculation (PBE) on BeTlPt2 after structural relaxation.

Energy relative to the lowest polymorph listed for this composition   0.166 eV/atom
Space group   No. 99
Formation enthalpy at 0 K   -128 meV per atom

Cell: 3.2074 3.2074 6.5041 Å, 90.00 90.00 90.00°
Positions (direct):
Be: 0.5000 0.5000 0.8572
Tl: 0.0000 0.0000 0.4953
Pt: 0.0000 0.0000 0.9294
Pt: 0.5000 0.5000 0.2180

=====

[2]
VASP calculation (PBE) on CeU3S4 after structural relaxation.

Energy relative to the lowest polymorph listed for this composition   0.010 eV/atom
Space group   No. 221
E_form (uncorrected)   -1.517 eV per atom

Cell: 5.5146 5.5146 5.5146 Å, 90.00 90.00 90.00°
Positions (direct):
Ce: 0.0000 0.0000 0.0000
U: 0.0000 0.5000 0.5000
U: 0.5000 0.0000 0.5000
U: 0.5000 0.5000 0.0000
S: 0.5000 0.0000 0.0000
S: 0.0000 0.5000 0.0000
S: 0.0000 0.0000 0.5000
S: 0.5000 0.5000 0.5000

=====

[3]
VASP calculation (PBE) on Ba2Zn3SnPd4 after structural relaxation.

Space group   No. 115
Formation enthalpy at 0 K   -543 meV per atom

Cell: 4.6115 4.6115 10.6143 Å, 90.00 90.00 90.00°
Positions (direct):
Ba: 0.5000 0.0000 0.2358
Ba: 0.0000 0.5000 0.7642
Zn: 0.0000 0.0000 0.5000
Zn: 0.5000 0.0000 0.8828
Zn: 0.0000 0.5000 0.1172
Sn: 0.5000 0.5000 0.5000
Pd: 0.5000 0.5000 0.0000
Pd: 0.0000 0.0000 0.0000
Pd: 0.5000 0.0000 0.6309
Pd: 0.0000 0.5000 0.3691

=====

[4]
VASP calculation (PBE) on In2RhPb after structural relaxation.

Space group   No. 119
Formation enthalpy at 0 K   139 meV per atom

Cell: 5.4405 5.4405 5.4405 Å, 131.16 131.16 71.56°
Positions (direct):
In: 0.0000 0.0000 0.0000
In: 0.2500 0.7500 0.5000
Rh: 0.7500 0.2500 0.5000
Pb: 0.5000 0.5000 0.0000

=====

no.,total moment (μB/f.u.)
1,0.0
2,7.1
3,0.0
4,0.0